1.
# UAgHgBi | Alexandria via LeMat-Bulk | GGA-PBE | optimized geometry
# Uncorrected energy ... -70.26 eV for the cell shown
# N(E_F) ... 1.713 states/eV/atom
# ΔE_f ... 189 meV per atom
data_UAgHgBi
_cell_length_a 7.380
_cell_length_b 7.380
_cell_length_c 7.380
_cell_angle_alpha 90.00
_cell_angle_beta 90.00
_cell_angle_gamma 90.00
_symmetry_space_group_name_H-M 'F -4 3 m'
_symmetry_Int_Tables_number 216
_symmetry_space_group_name_Hall 'F -4 2 3'
loop_
_atom_site_label
_atom_site_fract_x
_atom_site_fract_y
_atom_site_fract_z
U1 0.000 0.000 0.000
Ag1 0.000 0.000 0.500
Hg1 0.250 0.250 0.250
Bi1 0.250 0.250 0.750

***

2.
# CdAgHg2 | Alexandria via LeMat-Bulk | GGA-PBE | optimized geometry
# Uncorrected energy ... -8.21 eV for the cell shown
# N(E_F) ... 0.340 states/eV/atom
# ΔE_f ... 66 meV per atom
data_CdAgHg2
_cell_length_a 6.128
_cell_length_b 8.411
_cell_length_c 3.397
_cell_angle_alpha 90.00
_cell_angle_beta 90.90
_cell_angle_gamma 90.00
_symmetry_space_group_name_H-M 'C 1 2/m 1'
_symmetry_Int_Tables_number 12
loop_
_symmetry_equiv_pos_as_xyz
'x,y,z'
'-x,-y,-z'
'-x,y,-z'
'x,-y,z'
'x+1/2,y+1/2,z'
'-x+1/2,-y+1/2,-z'
'-x+1/2,y+1/2,-z'
'x+1/2,-y+1/2,z'
loop_
_atom_site_label
_atom_site_fract_x
_atom_site_fract_y
_atom_site_fract_z
Cd1 0.000 0.000 0.000
Ag1 0.000 0.500 0.000
Hg1 0.250 0.250 0.500

***

- Which formula does entry 2 have?
  CdAgHg2

***

- Which value of uncorrected energy does entry 2 give?
  -8.21 eV for the cell shown

***

- What is the uncorrected energy in the second record?
  -8.21 eV for the cell shown

***

Repeat the second record exactly.
# CdAgHg2 | Alexandria via LeMat-Bulk | GGA-PBE | optimized geometry
# Uncorrected energy ... -8.21 eV for the cell shown
# N(E_F) ... 0.340 states/eV/atom
# ΔE_f ... 66 meV per atom
data_CdAgHg2
_cell_length_a 6.128
_cell_length_b 8.411
_cell_length_c 3.397
_cell_angle_alpha 90.00
_cell_angle_beta 90.90
_cell_angle_gamma 90.00
_symmetry_space_group_name_H-M 'C 1 2/m 1'
_symmetry_Int_Tables_number 12
loop_
_symmetry_equiv_pos_as_xyz
'x,y,z'
'-x,-y,-z'
'-x,y,-z'
'x,-y,z'
'x+1/2,y+1/2,z'
'-x+1/2,-y+1/2,-z'
'-x+1/2,y+1/2,-z'
'x+1/2,-y+1/2,z'
loop_
_atom_site_label
_atom_site_fract_x
_atom_site_fract_y
_atom_site_fract_z
Cd1 0.000 0.000 0.000
Ag1 0.000 0.500 0.000
Hg1 0.250 0.250 0.500